{"formula": "Li3PrBi2", "functional": "SCAN", "state": "PBEsol geometry", "e_tot_ev_per_cell": -212.36, "sg": "P-3m1, No. 164", "magmom_total_mub_per_cell": 0.0, "cell": [[4.665, 0.000, 0.000], [-2.332, 4.040, 0.000], [0.000, 0.000, 7.381]], "species": ["Li", "Li", "Li", "Pr", "Bi", "Bi"], "fractional_positions": [[0.000, 0.000, 0.000], [0.333, 0.667, 0.850], [0.667, 0.333, 0.150], [0.000, 0.000, 0.500], [0.333, 0.667, 0.245], [0.667, 0.333, 0.755]]}